1.
LaCo2P2 | GGA-PBEsol | relaxed

a b c (Å): 3.6984 3.6984 6.1957
angles (deg): 107.37 107.37 90.00
Closest atoms and distances in Å follow each position.
Fractional positions:
1 Co 0.7500 0.2500 0.5000  4 P 2.19
2 P 0.3541 0.3541 0.7083  4 Co 2.19
3 Co 0.2500 0.7500 0.5000  4 P 2.19
4 P 0.6459 0.6459 0.2917  4 Co 2.19
5 La 0.0000 0.0000 0.0000  8 P 3.09, 8 Co 3.36

Properties
* symmetry: I4/mmm (139)
* formation enthalpy at 0 K: -1071 meV/atom
* D(E_F): 0.746 states/eV per atom
* M_tot: 0.124 μB per atom

2.
LaCo5P3 | GGA-PBEsol | relaxed

a b c (Å): 3.5815 5.9382 11.2882
angles (deg): 90.00 90.00 107.55
Closest atoms and distances in Å follow each position.
Fractional positions:
1 Co 0.0540 0.1081 0.8575  4 P 2.16-2.27
2 Co 0.0540 0.1081 0.6425  4 P 2.16-2.27
3 Co 0.3025 0.6050 0.4322  4 P 2.13-2.33, 1 Co 2.36
4 Co 0.3025 0.6050 0.0678  4 P 2.13-2.33, 1 Co 2.36
5 La 0.6629 0.3257 0.2500  7 P 3.04-3.15, 10 Co 3.15-3.37
6 Co 0.6975 0.3950 0.5678  4 P 2.13-2.33, 1 Co 2.36
7 P 0.8828 0.7656 0.5377  7 Co 2.13-2.33
8 P 0.1172 0.2344 0.0377  7 Co 2.13-2.33
9 Co 0.9460 0.8919 0.3575  4 P 2.16-2.27
10 Co 0.5000 0.0000 0.0000  4 P 2.27, 6 Co 2.36-2.48
11 P 0.1172 0.2344 0.4623  7 Co 2.13-2.33
12 Co 0.5000 0.0000 0.5000  4 P 2.27, 6 Co 2.36-2.48
13 La 0.3371 0.6743 0.7500  7 P 3.04-3.15, 10 Co 3.15-3.37
14 P 0.6084 0.2168 0.7500  6 Co 2.25-2.29
15 P 0.3916 0.7832 0.2500  6 Co 2.25-2.29
16 P 0.8828 0.7656 0.9623  7 Co 2.13-2.33
17 Co 0.9460 0.8919 0.1425  4 P 2.16-2.27
18 Co 0.6975 0.3950 0.9322  4 P 2.13-2.33, 1 Co 2.36

Properties
* symmetry: Cmcm (63)
* formation enthalpy at 0 K: -888 meV/atom
* D(E_F): 0.795 states/eV per atom
* M_tot: 0.000 μB per atom

3.
LaPrCo4P4 | GGA-PBEsol | relaxed

a b c (Å): 3.7583 3.7583 10.7185
angles (deg): 90.00 90.00 90.00
Closest atoms and distances in Å follow each position.
Fractional positions:
1 Co 0.5000 0.0000 0.7542  4 P 2.19-2.20
2 Pr 0.0000 0.0000 0.0000  8 P 3.05, 8 Co 3.24
3 La 0.5000 0.5000 0.5000  8 P 3.10, 8 Co 3.31
4 P 0.5000 0.5000 0.8603  4 Co 2.20
5 Co 0.0000 0.5000 0.7542  4 P 2.19-2.20
6 Co 0.5000 0.0000 0.2458  4 P 2.19-2.20
7 P 0.5000 0.5000 0.1397  4 Co 2.20
8 P 0.0000 0.0000 0.6486  4 Co 2.19
9 Co 0.0000 0.5000 0.2458  4 P 2.19-2.20
10 P 0.0000 0.0000 0.3514  4 Co 2.19

Properties
* symmetry: P4/mmm (123)
* formation enthalpy at 0 K: -1055 meV/atom
* D(E_F): 0.671 states/eV per atom
* M_tot: 0.215 μB per atom

4.
LaPr3Co8P8 | GGA-PBEsol | relaxed

a b c (Å): 3.8397 3.8397 19.9195
angles (deg): 90.00 90.00 90.00
Closest atoms and distances in Å follow each position.
Fractional positions:
1 Co 0.0000 0.5000 0.1311  4 P 2.21-2.22
2 P 0.5000 0.5000 0.5668  4 Co 2.22
3 Co 0.5000 0.0000 0.1311  4 P 2.21-2.22
4 Pr 0.5000 0.5000 0.2541  8 P 3.02-3.03, 8 Co 3.11
5 Co 0.5000 0.0000 0.3772  4 P 2.22
6 P 0.5000 0.5000 0.4332  4 Co 2.22
7 Pr 0.0000 0.0000 0.5000  8 P 3.02, 8 Co 3.11
8 Co 0.5000 0.0000 0.8689  4 P 2.21-2.22
9 P 0.0000 0.0000 0.6791  4 Co 2.22
10 Co 0.0000 0.5000 0.6228  4 P 2.22
11 La 0.0000 0.0000 0.0000  8 P 3.11, 8 Co 3.24
12 P 0.0000 0.0000 0.8130  4 Co 2.22
13 P 0.5000 0.5000 0.9242  4 Co 2.21
14 P 0.0000 0.0000 0.1870  4 Co 2.22
15 P 0.5000 0.5000 0.0758  4 Co 2.21
16 Co 0.0000 0.5000 0.8689  4 P 2.21-2.22
17 Co 0.0000 0.5000 0.3772  4 P 2.22
18 P 0.0000 0.0000 0.3209  4 Co 2.22
19 Co 0.5000 0.0000 0.6228  4 P 2.22
20 Pr 0.5000 0.5000 0.7459  8 P 3.02-3.03, 8 Co 3.11

Properties
* symmetry: P4/mmm (123)
* formation enthalpy at 0 K: -1050 meV/atom
* D(E_F): 0.496 states/eV per atom
* M_tot: 0.282 μB per atom

5.
LaCoPb | GGA-PBEsol | relaxed

a b c (Å): 4.9576 4.9576 4.9576
angles (deg): 60.00 60.00 60.00
Closest atoms and distances in Å follow each position.
Fractional positions:
1 Pb 0.0000 0.0000 0.0000  4 La 3.04
2 La 0.7500 0.7500 0.7500  4 Pb 3.04, 4 Co 3.04
3 Co 0.5000 0.5000 0.5000  4 La 3.04

Properties
* symmetry: F-43m (216)
* formation enthalpy at 0 K: 745 meV/atom
* D(E_F): 2.275 states/eV per atom
* M_tot: 0.492 μB per atom

6.
LaCo4Pb | GGA-PBEsol | relaxed

a b c (Å): 5.0513 5.0513 5.0513
angles (deg): 60.00 60.00 60.00
Closest atoms and distances in Å follow each position.
Fractional positions:
1 La 0.7500 0.7500 0.7500  12 Co 2.96, 4 Pb 3.09
2 Co 0.3740 0.3740 0.3740  6 Co 2.51-2.54
3 Pb 0.0000 0.0000 0.0000  12 Co 2.96, 4 La 3.09
4 Co 0.3740 0.8779 0.3740  6 Co 2.51-2.54
5 Co 0.3740 0.3740 0.8779  6 Co 2.51-2.54
6 Co 0.8779 0.3740 0.3740  6 Co 2.51-2.54

Properties
* symmetry: F-43m (216)
* formation enthalpy at 0 K: 122 meV/atom
* D(E_F): 1.840 states/eV per atom
* M_tot: 0.666 μB per atom

> Which formula does entry 6 have?

LaCo4Pb

> What is the formation enthalpy at 0 K in the fifth record?

745 meV/atom